Below is crystalline Hf2ScAuO at its relaxed geometry, with properties calculated at the GGA-PBE level.

Cell and atoms, written as CIF:
```
data_Hf2ScAuO
_chemical_formula_sum 'Hf2 Sc1 Au1 O1'
_cell_length_a 4.385
_cell_length_b 4.385
_cell_length_c 4.395
_cell_angle_alpha 90.00
_cell_angle_beta 90.00
_cell_angle_gamma 90.00
_space_group_name_H-M_alt 'P 4/m m m'
_space_group_IT_number 123
_space_group_name_Hall '-P 4 2'
loop_
_atom_site_label
_atom_site_type_symbol
_atom_site_fract_x
_atom_site_fract_y
_atom_site_fract_z
Hf1 Hf 0.000 0.500 0.000
Sc1 Sc 0.000 0.000 0.500
Au1 Au 0.500 0.500 0.500
O1 O 0.000 0.000 0.000
```

Summary:
Magnetic moment: 0.00 μB/f.u.
Raw formation energy: -6.50 eV/f.u.
Density: 12.08 Mg/m³

Below is crystalline BiBPt3 at its relaxed geometry, with properties calculated at the GGA-PBE level.

Cell and atoms, written as CIF:
```
data_BiBPt3
_chemical_formula_sum 'Bi4 B4 Pt12'
_cell_length_a 4.832
_cell_length_b 4.832
_cell_length_c 19.867
_cell_angle_alpha 90.00
_cell_angle_beta 90.00
_cell_angle_gamma 90.00
_space_group_name_H-M_alt 'I -4 m 2'
_space_group_IT_number 119
_space_group_name_Hall 'I -4 -2'
loop_
_atom_site_label
_atom_site_type_symbol
_atom_site_fract_x
_atom_site_fract_y
_atom_site_fract_z
Bi1 Bi 0.000 0.000 0.000
Bi2 Bi 0.000 0.500 0.250
B1 B 0.000 0.500 0.706
Pt1 Pt 0.000 0.000 0.330
Pt2 Pt 0.000 0.249 0.122
```

Summary:
Magnetic moment: 0.00 μB/f.u.
Offset from the most stable computed form: 1036.5 meV per atom
Density: 11.53 Mg/m³

no.,DFT total energy (eV/atom)
1,-8.194
2,-4.918